No. 1
The following is a PBE calculation of Pr3YMg8 after structural relaxation, from Alexandria.

Summary:
E_form in eV/atom: -0.096
DFT total energy in eV per atom: -2.893
SG: P3m1
Volume in Å³ per cell: 326.78
Fermi-level density of states in states/eV/f.u.: 14.41

Cell lengths 6.149, 6.149, 9.981 Å; angles 90.00, 90.00, 120.00 degrees
Positions (direct):
Pr (0.000, 0.000, 0.938)
Mg (0.163, 0.326, 0.252)
Mg (0.333, 0.667, 0.500)
Mg (0.163, 0.837, 0.252)
Pr (0.667, 0.333, 0.434)
Y (0.000, 0.000, 0.568)
Mg (0.503, 0.497, 0.748)
Mg (0.333, 0.667, 0.000)
Mg (0.503, 0.007, 0.748)
Mg (0.674, 0.837, 0.252)
Mg (0.993, 0.497, 0.748)
Pr (0.667, 0.333, 0.061)

No. 2
The following is a PBE calculation of PrYMg3 after structural relaxation, from Alexandria.

Summary:
E_form in eV/atom: 0.046
DFT total energy in eV per atom: -3.159
SG: Cmcm
Offset from the most stable computed form in meV per atom: 104.9
Volume in Å³ per cell: 289.22
Fermi-level density of states in states/eV/f.u.: 5.09

Cell lengths 5.889, 6.421, 8.295 Å; angles 112.77, 90.00, 90.00 degrees
Positions (direct):
Mg (0.500, 0.000, 0.000)
Y (0.750, 0.192, 0.383)
Mg (0.750, 0.620, 0.720)
Mg (0.750, 0.100, 0.720)
Y (0.250, 0.808, 0.617)
Pr (0.750, 0.604, 0.208)
Pr (0.250, 0.396, 0.792)
Mg (0.250, 0.380, 0.280)
Mg (0.250, 0.900, 0.280)
Mg (0.000, 0.000, 0.000)

No. 3
The following is a PBE calculation of Pr2YMg after structural relaxation, from Alexandria.

Summary:
E_form in eV/atom: 0.184
DFT total energy in eV per atom: -4.220
SG: R-3m
Offset from the most stable computed form in meV per atom: 218.3
Volume in Å³ per cell: 136.69
Fermi-level density of states in states/eV/f.u.: 4.37

Cell lengths 3.538, 3.538, 12.775 Å; angles 82.04, 82.04, 60.00 degrees
Positions (direct):
Pr (0.911, 0.911, 0.267)
Mg (0.000, 0.000, 0.000)
Pr (0.089, 0.089, 0.733)
Y (0.500, 0.500, 0.500)

No. 4
The following is a PBE calculation of Pr4Y7Mg after structural relaxation, from Alexandria.

Summary:
E_form in eV/atom: 0.090
DFT total energy in eV per atom: -5.406
SG: P-1
Offset from the most stable computed form in meV per atom: 0.0
Volume in Å³ per cell: 400.41
Fermi-level density of states in states/eV/f.u.: 20.39

Cell lengths 6.028, 9.174, 11.712 Å; angles 84.64, 60.63, 49.11 degrees
Positions (direct):
Pr (0.565, 0.402, 0.265)
Mg (0.000, 0.000, 0.000)
Pr (0.207, 0.180, 0.361)
Pr (0.435, 0.598, 0.735)
Y (0.111, 0.862, 0.260)
Y (0.891, 0.451, 0.912)
Y (0.500, 0.000, 0.000)
Y (0.582, 0.725, 0.434)
Y (0.889, 0.138, 0.740)
Pr (0.793, 0.820, 0.639)
Y (0.418, 0.275, 0.566)
Y (0.109, 0.549, 0.088)

Q: Number 3 is which compound?
A: Pr2YMg

Q: What is the volume in the second record?
A: 289.22 Å³ per cell

Repeat the second record exactly.
The following is a PBE calculation of PrYMg3 after structural relaxation, from Alexandria.

Summary:
E_form in eV/atom: 0.046
DFT total energy in eV per atom: -3.159
SG: Cmcm
Offset from the most stable computed form in meV per atom: 104.9
Volume in Å³ per cell: 289.22
Fermi-level density of states in states/eV/f.u.: 5.09

Cell lengths 5.889, 6.421, 8.295 Å; angles 112.77, 90.00, 90.00 degrees
Positions (direct):
Mg (0.500, 0.000, 0.000)
Y (0.750, 0.192, 0.383)
Mg (0.750, 0.620, 0.720)
Mg (0.750, 0.100, 0.720)
Y (0.250, 0.808, 0.617)
Pr (0.750, 0.604, 0.208)
Pr (0.250, 0.396, 0.792)
Mg (0.250, 0.380, 0.280)
Mg (0.250, 0.900, 0.280)
Mg (0.000, 0.000, 0.000)